[1]
The following is a GGA-PBE calculation of an optimized crystal structure of NbReAg2Ru, from Alexandria via LeMat-Bulk.

Geometry as POSCAR:
```
NbReAg2Ru
1.0
4.867 0.000 0.000
0.000 4.867 0.000
0.000 0.000 4.571
Nb Re Ag Ru
1 1 2 1
direct
0.000 0.000 0.000 Nb
0.500 0.500 0.000 Re
0.000 0.500 0.500 Ag
0.500 0.000 0.500 Ag
0.500 0.500 0.500 Ru
```

Results
D(E_F) = 7.8 states/eV/cell
SG = P4/mmm (123)
Formation energy = 1.83 eV per atom
Volume = 108.28 Å³ per cell
E = -5.6721 eV/atom

=====

[2]
The following is a GGA-PBE calculation of an optimized crystal structure of Tm5Cu4Rh, from Alexandria via LeMat-Bulk.

Geometry as POSCAR:
```
Tm5Cu4Rh
1.0
3.404 0.000 0.000
0.000 3.404 0.000
0.000 0.000 17.161
Tm Cu Rh
5 4 1
direct
0.000 0.000 0.000 Tm
0.000 0.000 0.202 Tm
0.000 0.000 0.403 Tm
0.000 0.000 0.597 Tm
0.000 0.000 0.798 Tm
0.500 0.500 0.100 Cu
0.500 0.500 0.301 Cu
0.500 0.500 0.699 Cu
0.500 0.500 0.900 Cu
0.500 0.500 0.500 Rh
```

Results
D(E_F) = 5.7 states/eV/cell
SG = P4/mmm (123)
Formation energy = -0.42 eV per atom
Volume = 198.87 Å³ per cell
E = -5.0331 eV/atom

=====

[3]
The following is a GGA-PBE calculation of an optimized crystal structure of LiPaTa2N4, from Alexandria via LeMat-Bulk.

Geometry as POSCAR:
```
LiPaTa2N4
1.0
5.436 0.000 0.000
0.000 3.188 0.000
-1.685 0.000 5.380
Li Pa Ta N
1 1 2 4
direct
0.000 0.000 0.000 Li
0.500 0.500 0.000 Pa
0.000 0.500 0.500 Ta
0.500 0.000 0.500 Ta
0.226 0.000 0.731 N
0.260 0.500 0.275 N
0.740 0.500 0.725 N
0.774 0.000 0.269 N
```

Results
D(E_F) = 3.8 states/eV/cell
SG = P2/m (10)
Volume = 93.22 Å³ per cell
Raw formation energy = -1254 meV per atom
E = -9.8061 eV/atom

=====

[4]
The following is a GGA-PBE calculation of an optimized crystal structure of TlRe2Au, from Alexandria via LeMat-Bulk.

Geometry as POSCAR:
```
TlRe2Au
1.0
2.892 0.000 0.000
0.000 4.866 0.000
0.000 0.000 5.007
Tl Re Au
1 2 1
direct
0.000 0.000 0.000 Tl
0.000 0.500 0.500 Re
0.500 0.000 0.500 Re
0.500 0.500 0.000 Au
```

Results
D(E_F) = 4.2 states/eV/cell
SG = Pmmm (47)
Formation energy = 0.92 eV per atom
Offset from the most stable computed form = 0.517 eV per atom
Volume = 70.45 Å³ per cell
E = -6.7137 eV/atom

=====

[5]
The following is a GGA-PBE calculation of an optimized crystal structure of BaIn2Hg2Pb, from Alexandria via LeMat-Bulk.

Geometry as POSCAR:
```
BaIn2Hg2Pb
1.0
5.224 0.000 0.000
-2.612 4.524 0.000
0.000 0.000 7.807
Ba In Hg Pb
1 2 2 1
direct
0.000 0.000 0.000 Ba
0.333 0.667 0.678 In
0.667 0.333 0.322 In
0.333 0.667 0.243 Hg
0.667 0.333 0.757 Hg
0.000 0.000 0.500 Pb
```

Results
D(E_F) = 2.7 states/eV/cell
SG = P-3m1 (164)
Formation energy = -0.29 eV per atom
Volume = 184.48 Å³ per cell
E = -2.2418 eV/atom

=====

[6]
The following is a GGA-PBE calculation of an optimized crystal structure of ScFe2Ni, from Alexandria via LeMat-Bulk.

Geometry as POSCAR:
```
ScFe2Ni
1.0
-2.112 2.112 3.004
2.112 -2.112 3.004
2.112 2.112 -3.004
Sc Fe Ni
1 2 1
direct
0.000 0.000 0.000 Sc
0.500 0.500 0.000 Fe
0.750 0.250 0.500 Fe
0.250 0.750 0.500 Ni
```

Results
D(E_F) = 2.2 states/eV/cell
SG = I-4m2 (119)
Formation energy = -0.09 eV per atom
Volume = 53.60 Å³ per cell
E = -7.3515 eV/atom